Entry 1:
# Sc6P2N, optimized geometry, DFT PBE
data_Sc6P2N
_chemical_formula_sum 'Sc12 P4 N2'
_space_group_name_H-M_alt 'P 1 21/c 1'
_space_group_IT_number 14
_cell_length_a 5.756
_cell_length_b 6.784
_cell_length_c 10.018
_cell_angle_alpha 90.00
_cell_angle_beta 123.13
_cell_angle_gamma 90.00
loop_
_space_group_symop_operation_xyz
'x,y,z'
'-x,-y,-z'
'-x,y+1/2,-z+1/2'
'x,-y+1/2,z+1/2'
loop_
_atom_site_label
_atom_site_type_symbol
_atom_site_fract_x
_atom_site_fract_y
_atom_site_fract_z
Sc1 Sc 0.124 0.030 0.252
Sc2 Sc 0.197 0.696 0.053
Sc3 Sc 0.375 0.166 0.052
P1 P 0.310 0.116 0.750
N1 N 0.000 0.000 0.000
# Magnetic moment (μB/cell): 0.00
# ΔE_f (raw) (eV per atom): -1.130

---

Entry 2:
# Tm2ScCd6, optimized geometry, DFT PBE
data_Tm2ScCd6
_chemical_formula_sum 'Tm2 Sc1 Cd6'
_space_group_name_H-M_alt 'P 6/m m m'
_space_group_IT_number 191
_space_group_name_Hall '-P 6 2'
_cell_length_a 8.5236
_cell_length_b 8.5236
_cell_length_c 3.3316
_cell_angle_alpha 90.00
_cell_angle_beta 90.00
_cell_angle_gamma 120.00
loop_
_atom_site_label
_atom_site_type_symbol
_atom_site_fract_x
_atom_site_fract_y
_atom_site_fract_z
Tm1 Tm 0.3333 0.6667 0.0000
Sc1 Sc 0.0000 0.0000 0.0000
Cd1 Cd 0.0000 0.3308 0.5000
# Magnetic moment (μB/cell): 0.02
# Formation energy from the elements (eV/atom): -0.266

---

Entry 3:
# CsCoCl2, optimized geometry, DFT PBE
data_CsCoCl2
_chemical_formula_sum 'Cs4 Co4 Cl8'
_space_group_name_H-M_alt 'C 1 2/m 1'
_space_group_IT_number 12
_cell_length_a 7.927
_cell_length_b 7.399
_cell_length_c 9.478
_cell_angle_alpha 90.00
_cell_angle_beta 110.59
_cell_angle_gamma 90.00
loop_
_space_group_symop_operation_xyz
'x,y,z'
'-x,-y,-z'
'-x,y,-z'
'x,-y,z'
'x+1/2,y+1/2,z'
'-x+1/2,-y+1/2,-z'
'-x+1/2,y+1/2,-z'
'x+1/2,-y+1/2,z'
loop_
_atom_site_label
_atom_site_type_symbol
_atom_site_fract_x
_atom_site_fract_y
_atom_site_fract_z
Cs1 Cs 0.164 0.000 0.282
Co1 Co 0.141 0.500 0.076
Cl1 Cl 0.163 0.500 0.323
Cl2 Cl 0.250 0.250 0.000
# Magnetic moment (μB/cell): 8.01
# ΔE_f (raw) (eV per atom): -0.981

---

Entry 4:
# Pr4TlAsSe2, optimized geometry, DFT PBE
data_Pr4TlAsSe2
_chemical_formula_sum 'Pr4 Tl1 As1 Se2'
_space_group_name_H-M_alt 'P 1 2/m 1'
_space_group_IT_number 10
_cell_length_a 7.574
_cell_length_b 4.296
_cell_length_c 7.608
_cell_angle_alpha 90.00
_cell_angle_beta 108.91
_cell_angle_gamma 90.00
loop_
_space_group_symop_operation_xyz
'x,y,z'
'-x,-y,-z'
'-x,y,-z'
'x,-y,z'
loop_
_atom_site_label
_atom_site_type_symbol
_atom_site_fract_x
_atom_site_fract_y
_atom_site_fract_z
Pr1 Pr 0.242 0.000 0.238
Pr2 Pr 0.254 0.500 0.760
Tl1 Tl 0.500 0.500 0.500
As1 As 0.500 0.000 0.000
Se1 Se 0.000 0.000 0.500
Se2 Se 0.000 0.500 0.000
# Magnetic moment (μB/cell): 0.00
# ΔE_f (raw) (eV per atom): -1.375

---

Entry 5:
# Te2As2Cl, optimized geometry, DFT PBE
data_Te2As2Cl
_chemical_formula_sum 'Te4 As4 Cl2'
_space_group_name_H-M_alt 'P 4/m b m'
_space_group_IT_number 127
_space_group_name_Hall '-P 4 2ab'
_cell_length_a 8.363
_cell_length_b 8.363
_cell_length_c 3.860
_cell_angle_alpha 90.00
_cell_angle_beta 90.00
_cell_angle_gamma 90.00
loop_
_atom_site_label
_atom_site_type_symbol
_atom_site_fract_x
_atom_site_fract_y
_atom_site_fract_z
Te1 Te 0.147 0.353 0.000
As1 As 0.200 0.700 0.500
Cl1 Cl 0.000 0.000 0.500
# Magnetic moment (μB/cell): 0.00
# ΔE_f (raw) (eV per atom): 0.096

---

Entry 6:
# FePb2Br, optimized geometry, DFT PBE
data_FePb2Br
_chemical_formula_sum 'Fe2 Pb4 Br2'
_space_group_name_H-M_alt 'C 1 2/m 1'
_space_group_IT_number 12
_cell_length_a 8.302
_cell_length_b 8.059
_cell_length_c 3.299
_cell_angle_alpha 90.00
_cell_angle_beta 108.47
_cell_angle_gamma 90.00
loop_
_space_group_symop_operation_xyz
'x,y,z'
'-x,-y,-z'
'-x,y,-z'
'x,-y,z'
'x+1/2,y+1/2,z'
'-x+1/2,-y+1/2,-z'
'-x+1/2,y+1/2,-z'
'x+1/2,-y+1/2,z'
loop_
_atom_site_label
_atom_site_type_symbol
_atom_site_fract_x
_atom_site_fract_y
_atom_site_fract_z
Fe1 Fe 0.000 0.000 0.000
Pb1 Pb 0.250 0.250 0.500
Br1 Br 0.000 0.500 0.000
# Magnetic moment (μB/cell): 5.61
# ΔE_f (raw) (eV per atom): 0.316

---

Entry 7:
# Ti6Co2Ni, optimized geometry, DFT PBE
data_Ti6Co2Ni
_chemical_formula_sum 'Ti12 Co4 Ni2'
_space_group_name_H-M_alt 'P 1 21/c 1'
_space_group_IT_number 14
_cell_length_a 5.051
_cell_length_b 6.566
_cell_length_c 9.522
_cell_angle_alpha 90.00
_cell_angle_beta 120.60
_cell_angle_gamma 90.00
loop_
_space_group_symop_operation_xyz
'x,y,z'
'-x,-y,-z'
'-x,y+1/2,-z+1/2'
'x,-y+1/2,z+1/2'
loop_
_atom_site_label
_atom_site_type_symbol
_atom_site_fract_x
_atom_site_fract_y
_atom_site_fract_z
Ti1 Ti 0.065 0.066 0.242
Ti2 Ti 0.213 0.732 0.072
Ti3 Ti 0.378 0.141 0.045
Co1 Co 0.331 0.092 0.711
Ni1 Ni 0.500 0.000 0.500
# Magnetic moment (μB/cell): 0.00
# Formation energy from the elements (eV/atom): -0.131

---

Entry 8:
# LiHgPd4, optimized geometry, DFT PBE
data_LiHgPd4
_chemical_formula_sum 'Li1 Hg1 Pd4'
_space_group_name_H-M_alt 'P 1'
_space_group_IT_number 1
_cell_length_a 2.937
_cell_length_b 4.592
_cell_length_c 7.255
_cell_angle_alpha 90.15
_cell_angle_beta 101.55
_cell_angle_gamma 90.00
loop_
_space_group_symop_operation_xyz
'x,y,z'
loop_
_atom_site_label
_atom_site_type_symbol
_atom_site_fract_x
_atom_site_fract_y
_atom_site_fract_z
Li1 Li 0.000 0.000 0.000
Hg1 Hg 0.791 0.499 0.580
Pd1 Pd 0.123 0.498 0.244
Pd2 Pd 0.341 0.000 0.681
Pd3 Pd 0.462 0.501 0.923
Pd4 Pd 0.657 0.999 0.313
# Magnetic moment (μB/cell): 0.00
# Formation energy from the elements (eV/atom): -0.187

---

Entry 9:
# TmTh2AgRh5, optimized geometry, DFT PBE
data_TmTh2AgRh5
_chemical_formula_sum 'Tm4 Th8 Ag4 Rh20'
_space_group_name_H-M_alt 'I 4/m c m'
_space_group_IT_number 140
_space_group_name_Hall '-I 4 2c'
_cell_length_a 8.291
_cell_length_b 8.291
_cell_length_c 11.123
_cell_angle_alpha 90.00
_cell_angle_beta 90.00
_cell_angle_gamma 90.00
loop_
_atom_site_label
_atom_site_type_symbol
_atom_site_fract_x
_atom_site_fract_y
_atom_site_fract_z
Tm1 Tm 0.000 0.000 0.250
Th1 Th 0.139 0.361 0.000
Ag1 Ag 0.000 0.500 0.250
Rh1 Rh 0.000 0.000 0.000
Rh2 Rh 0.194 0.306 0.362
# Magnetic moment (μB/cell): 0.00
# Formation energy from the elements (eV/atom): -0.297

---

Entry 10:
# InAgOF2, optimized geometry, DFT PBE
data_InAgOF2
_chemical_formula_sum 'In1 Ag1 O1 F2'
_space_group_name_H-M_alt 'P 4/m m m'
_space_group_IT_number 123
_space_group_name_Hall '-P 4 2'
_cell_length_a 4.381
_cell_length_b 4.381
_cell_length_c 4.160
_cell_angle_alpha 90.00
_cell_angle_beta 90.00
_cell_angle_gamma 90.00
loop_
_atom_site_label
_atom_site_type_symbol
_atom_site_fract_x
_atom_site_fract_y
_atom_site_fract_z
In1 In 0.000 0.000 0.000
Ag1 Ag 0.500 0.500 0.500
O1 O 0.500 0.500 0.000
F1 F 0.000 0.500 0.500
# Magnetic moment (μB/cell): 0.00
# ΔE_f (raw) (eV per atom): -0.826

---

Entry 11:
# BeNbC2Br, optimized geometry, DFT PBE
data_BeNbC2Br
_chemical_formula_sum 'Be1 Nb1 C2 Br1'
_space_group_name_H-M_alt 'P 4/m m m'
_space_group_IT_number 123
_space_group_name_Hall '-P 4 2'
_cell_length_a 4.201
_cell_length_b 4.201
_cell_length_c 3.803
_cell_angle_alpha 90.00
_cell_angle_beta 90.00
_cell_angle_gamma 90.00
loop_
_atom_site_label
_atom_site_type_symbol
_atom_site_fract_x
_atom_site_fract_y
_atom_site_fract_z
Be1 Be 0.000 0.000 0.000
Nb1 Nb 0.500 0.500 0.000
C1 C 0.000 0.500 0.500
Br1 Br 0.000 0.000 0.500
# Magnetic moment (μB/cell): 0.05
# ΔE_f (raw) (eV per atom): 2.679

---

Entry 12:
# La3TlBr, optimized geometry, DFT PBE
data_La3TlBr
_chemical_formula_sum 'La3 Tl1 Br1'
_space_group_name_H-M_alt 'P m -3 m'
_space_group_IT_number 221
_space_group_name_Hall '-P 4 2 3'
_cell_length_a 5.650
_cell_length_b 5.650
_cell_length_c 5.650
_cell_angle_alpha 90.00
_cell_angle_beta 90.00
_cell_angle_gamma 90.00
loop_
_atom_site_label
_atom_site_type_symbol
_atom_site_fract_x
_atom_site_fract_y
_atom_site_fract_z
La1 La 0.000 0.000 0.500
Tl1 Tl 0.500 0.500 0.500
Br1 Br 0.000 0.000 0.000
# Magnetic moment (μB/cell): 0.00
# ΔE_f (raw) (eV per atom): -0.406

---

Q: Which formula does entry 11 have?
A: BeNbC2Br

---

Q: magnetic moment of number 12 (La3TlBr)?
A: 0.00 μB/cell